(1)
SmTmCu2: optimized geometry, PBE. Values from VASP.

```
&SYSTEM
  ibrav = 0, nat = 4, ntyp = 3
/
ATOMIC_SPECIES
Tm 168.93 Tm.upf
Cu 63.55 Cu.upf
Sm 150.36 Sm.upf
CELL_PARAMETERS angstrom
-1.415 -3.478 -3.194
-1.157 -4.510 1.619
-4.690 -1.518 -0.074
ATOMIC_POSITIONS crystal
Tm 0.000 0.000 0.000
Cu 0.250 0.250 0.250
Cu 0.750 0.750 0.750
Sm 0.500 0.500 0.500
```

Calculated values
For the total energy, the calculation gives -4.570 eV per atom. The excess energy over the best structure of this formula in the dataset comes out at 12.8 meV/atom. As for the symmetry: No. 225. As for the calculated volume: 84.7 Å³/cell. For the formation energy, the calculation gives -21.7 kJ/mol of atoms.

(2)
SmTmZnCu: optimized geometry, PBE. Values from VASP.

```
&SYSTEM
  ibrav = 0, nat = 4, ntyp = 4
/
ATOMIC_SPECIES
Cu 63.55 Cu.upf
Sm 150.36 Sm.upf
Zn 65.41 Zn.upf
Tm 168.93 Tm.upf
CELL_PARAMETERS angstrom
3.519 0.000 0.000
0.000 3.519 0.000
0.000 0.000 7.116
ATOMIC_POSITIONS crystal
Cu 0.000 0.000 0.378
Sm 0.500 0.500 0.111
Zn 0.000 0.000 0.841
Tm 0.500 0.500 0.598
```

Calculated values
For the total energy, the calculation gives -3.920 eV per atom. The excess energy over the best structure of this formula in the dataset comes out at 0.0 meV/atom. As for the symmetry: No. 99. As for the calculated volume: 88.1 Å³/cell. For the formation energy, the calculation gives -27.0 kJ/mol of atoms.

(3)
SmTmZnCu: optimized geometry, PBE. Values from VASP.

```
&SYSTEM
  ibrav = 0, nat = 4, ntyp = 4
/
ATOMIC_SPECIES
Sm 150.36 Sm.upf
Tm 168.93 Tm.upf
Zn 65.41 Zn.upf
Cu 63.55 Cu.upf
CELL_PARAMETERS angstrom
4.997 0.000 0.000
2.499 4.328 0.000
2.499 1.443 4.080
ATOMIC_POSITIONS crystal
Sm 0.500 0.500 0.500
Tm 0.000 0.000 0.000
Zn 0.750 0.750 0.750
Cu 0.250 0.250 0.250
```

Calculated values
For the total energy, the calculation gives -3.912 eV per atom. The excess energy over the best structure of this formula in the dataset comes out at 7.6 meV/atom. As for the symmetry: No. 216. As for the calculated volume: 88.2 Å³/cell. For the formation energy, the calculation gives -26.3 kJ/mol of atoms.

(4)
Sm2TmZn12Cu3: optimized geometry, PBE. Values from VASP.

```
&SYSTEM
  ibrav = 0, nat = 18, ntyp = 4
/
ATOMIC_SPECIES
Zn 65.41 Zn.upf
Sm 150.36 Sm.upf
Tm 168.93 Tm.upf
Cu 63.55 Cu.upf
CELL_PARAMETERS angstrom
9.774 1.937 1.374
6.511 7.542 1.374
6.511 3.790 6.664
ATOMIC_POSITIONS crystal
Zn 0.280 0.679 0.679
Sm 0.357 0.357 0.357
Zn 0.125 0.535 0.125
Zn 0.875 0.875 0.465
Zn 0.679 0.679 0.280
Zn 0.875 0.465 0.875
Zn 0.321 0.321 0.720
Zn 0.125 0.125 0.535
Zn 0.679 0.280 0.679
Zn 0.465 0.875 0.875
Tm 0.000 0.000 0.000
Zn 0.535 0.125 0.125
Cu 0.000 0.000 0.500
Zn 0.321 0.720 0.321
Cu 0.500 0.000 0.000
Sm 0.643 0.643 0.643
Cu 0.000 0.500 0.000
Zn 0.720 0.321 0.321
```

Calculated values
For the total energy, the calculation gives -2.321 eV per atom. As for the symmetry: No. 166. As for the calculated volume: 340.0 Å³/cell. For the formation energy, the calculation gives -1.6 kJ/mol of atoms.

(5)
SmVCu: optimized geometry, PBE. Values from VASP.

```
&SYSTEM
  ibrav = 0, nat = 6, ntyp = 3
/
ATOMIC_SPECIES
Cu 63.55 Cu.upf
V 50.94 V.upf
Sm 150.36 Sm.upf
CELL_PARAMETERS angstrom
4.574 0.000 0.000
2.287 3.285 0.000
2.287 0.000 8.713
ATOMIC_POSITIONS crystal
Cu 0.750 0.500 0.500
V 0.150 0.699 0.000
Cu 0.250 0.500 0.500
Sm 0.378 0.000 0.244
V 0.850 0.301 0.000
Sm 0.622 0.000 0.756
```

Calculated values
For the total energy, the calculation gives -5.610 eV per atom. As for the symmetry: No. 69. As for the calculated volume: 130.9 Å³/cell. For the formation energy, the calculation gives 35.5 kJ/mol of atoms.

(6)
Sm2VCu: optimized geometry, PBE. Values from VASP.

```
&SYSTEM
  ibrav = 0, nat = 4, ntyp = 3
/
ATOMIC_SPECIES
Sm 150.36 Sm.upf
V 50.94 V.upf
Cu 63.55 Cu.upf
CELL_PARAMETERS angstrom
-0.409 2.602 1.969
-2.681 1.881 -0.296
-6.000 -4.503 7.451
ATOMIC_POSITIONS crystal
Sm 0.093 0.093 0.722
Sm 0.907 0.907 0.278
V 0.000 0.000 0.000
Cu 0.500 0.500 0.500
```

Calculated values
For the total energy, the calculation gives -4.980 eV per atom. As for the symmetry: No. 166. As for the calculated volume: 97.4 Å³/cell. For the formation energy, the calculation gives 65.9 kJ/mol of atoms.

(7)
SmYCu: optimized geometry, PBE. Values from VASP.

```
&SYSTEM
  ibrav = 0, nat = 6, ntyp = 3
/
ATOMIC_SPECIES
Cu 63.55 Cu.upf
Sm 150.36 Sm.upf
Y 88.91 Y.upf
CELL_PARAMETERS angstrom
3.756 0.000 0.000
-1.878 6.324 -0.690
0.000 -4.208 7.058
ATOMIC_POSITIONS crystal
Cu 0.878 0.757 0.824
Sm 0.402 0.804 0.114
Y 0.842 0.683 0.436
Y 0.158 0.317 0.564
Cu 0.122 0.243 0.176
Sm 0.598 0.196 0.886
```

Calculated values
For the total energy, the calculation gives -5.224 eV per atom. The excess energy over the best structure of this formula in the dataset comes out at 0.0 meV/atom. As for the symmetry: No. 12. As for the calculated volume: 156.7 Å³/cell. For the formation energy, the calculation gives -12.7 kJ/mol of atoms.

(8)
SmY2Cu9: optimized geometry, PBE. Values from VASP.

```
&SYSTEM
  ibrav = 0, nat = 12, ntyp = 3
/
ATOMIC_SPECIES
Cu 63.55 Cu.upf
Sm 150.36 Sm.upf
Y 88.91 Y.upf
CELL_PARAMETERS angstrom
5.209 0.000 0.000
2.604 4.511 0.000
2.604 1.504 8.290
ATOMIC_POSITIONS crystal
Cu 0.668 0.668 0.997
Cu 0.418 0.418 0.246
Cu 0.332 0.332 0.003
Sm 0.000 0.000 0.000
Cu 0.582 0.083 0.754
Y 0.858 0.858 0.427
Cu 0.582 0.582 0.754
Cu 0.083 0.582 0.754
Cu 0.917 0.418 0.246
Cu 0.418 0.917 0.246
Cu 0.500 0.500 0.500
Y 0.142 0.142 0.573
```

Calculated values
For the total energy, the calculation gives -4.729 eV per atom. As for the symmetry: No. 166. As for the calculated volume: 194.8 Å³/cell. For the formation energy, the calculation gives -18.0 kJ/mol of atoms.

(9)
SmYCu: optimized geometry, PBE. Values from VASP.

```
&SYSTEM
  ibrav = 0, nat = 3, ntyp = 3
/
ATOMIC_SPECIES
Sm 150.36 Sm.upf
Cu 63.55 Cu.upf
Y 88.91 Y.upf
CELL_PARAMETERS angstrom
3.639 0.000 0.000
-1.819 3.151 0.000
0.000 0.000 7.077
ATOMIC_POSITIONS crystal
Sm 0.000 0.000 0.044
Cu 0.667 0.333 0.338
Y 0.333 0.667 0.618
```

Calculated values
For the total energy, the calculation gives -5.047 eV per atom. The excess energy over the best structure of this formula in the dataset comes out at 177.0 meV/atom. As for the symmetry: No. 156. As for the calculated volume: 81.1 Å³/cell. For the formation energy, the calculation gives 4.4 kJ/mol of atoms.

(10)
Sm2YCu: optimized geometry, PBE. Values from VASP.

```
&SYSTEM
  ibrav = 0, nat = 16, ntyp = 3
/
ATOMIC_SPECIES
Sm 150.36 Sm.upf
Y 88.91 Y.upf
Cu 63.55 Cu.upf
CELL_PARAMETERS angstrom
-3.710 -5.079 1.767
-1.126 -1.512 -6.710
7.996 -5.849 -0.023
ATOMIC_POSITIONS crystal
Sm 0.182 0.693 0.060
Sm 0.318 0.193 0.060
Sm 0.818 0.307 0.560
Sm 0.182 0.693 0.440
Y 0.863 0.023 0.250
Y 0.637 0.523 0.250
Sm 0.818 0.307 0.940
Cu 0.054 0.402 0.250
Sm 0.682 0.807 0.560
Y 0.363 0.477 0.750
Cu 0.554 0.098 0.750
Sm 0.682 0.807 0.940
Sm 0.318 0.193 0.440
Cu 0.946 0.598 0.750
Y 0.137 0.977 0.750
Cu 0.446 0.902 0.250
```

Calculated values
For the total energy, the calculation gives -5.083 eV per atom. The excess energy over the best structure of this formula in the dataset comes out at 0.0 meV/atom. As for the symmetry: No. 62. As for the calculated volume: 451.1 Å³/cell. For the formation energy, the calculation gives -8.0 kJ/mol of atoms.

(11)
SmYCu2: optimized geometry, PBE. Values from VASP.

```
&SYSTEM
  ibrav = 0, nat = 4, ntyp = 3
/
ATOMIC_SPECIES
Cu 63.55 Cu.upf
Y 88.91 Y.upf
Sm 150.36 Sm.upf
CELL_PARAMETERS angstrom
3.821 0.000 -0.042
0.000 4.494 0.000
-1.900 0.000 5.234
ATOMIC_POSITIONS crystal
Cu 0.011 0.000 0.564
Cu 0.153 0.500 0.842
Y 0.442 0.500 0.424
Sm 0.725 0.000 0.988
```

Calculated values
For the total energy, the calculation gives -5.070 eV per atom. The excess energy over the best structure of this formula in the dataset comes out at 0.0 meV/atom. As for the symmetry: No. 6. As for the calculated volume: 89.5 Å³/cell. For the formation energy, the calculation gives -21.9 kJ/mol of atoms.

(12)
SmYCu2: optimized geometry, PBE. Values from VASP.

```
&SYSTEM
  ibrav = 0, nat = 4, ntyp = 3
/
ATOMIC_SPECIES
Y 88.91 Y.upf
Cu 63.55 Cu.upf
Sm 150.36 Sm.upf
CELL_PARAMETERS angstrom
4.974 0.000 0.000
2.487 4.307 0.000
2.487 1.436 4.061
ATOMIC_POSITIONS crystal
Y 0.500 0.500 0.500
Cu 0.750 0.750 0.750
Sm 0.000 0.000 0.000
Cu 0.250 0.250 0.250
```

Calculated values
For the total energy, the calculation gives -5.049 eV per atom. The excess energy over the best structure of this formula in the dataset comes out at 21.3 meV/atom. As for the symmetry: No. 225. As for the calculated volume: 87.0 Å³/cell. For the formation energy, the calculation gives -19.8 kJ/mol of atoms.

(13)
SmY5Cu6: optimized geometry, PBE. Values from VASP.

```
&SYSTEM
  ibrav = 0, nat = 12, ntyp = 3
/
ATOMIC_SPECIES
Y 88.91 Y.upf
Cu 63.55 Cu.upf
Sm 150.36 Sm.upf
CELL_PARAMETERS angstrom
4.702 -0.028 1.570
0.037 6.939 0.012
0.001 -0.014 7.847
ATOMIC_POSITIONS crystal
Y 0.000 0.500 0.000
Cu 0.500 0.745 0.000
Cu 0.832 0.749 0.337
Cu 0.168 0.749 0.663
Cu 0.832 0.251 0.337
Sm 0.000 0.000 0.000
Y 0.334 0.500 0.333
Cu 0.500 0.255 0.000
Y 0.333 0.000 0.334
Cu 0.168 0.251 0.663
Y 0.667 0.000 0.666
Y 0.666 0.500 0.667
```

Calculated values
For the total energy, the calculation gives -5.368 eV per atom. As for the symmetry: No. 10. As for the calculated volume: 256.0 Å³/cell. For the formation energy, the calculation gives -22.6 kJ/mol of atoms.

(14)
Sm2YCu: optimized geometry, PBE. Values from VASP.

```
&SYSTEM
  ibrav = 0, nat = 8, ntyp = 3
/
ATOMIC_SPECIES
Sm 150.36 Sm.upf
Cu 63.55 Cu.upf
Y 88.91 Y.upf
CELL_PARAMETERS angstrom
4.915 0.000 0.000
-2.457 5.798 0.000
0.000 0.000 7.818
ATOMIC_POSITIONS crystal
Sm 0.646 0.291 0.467
Sm 0.354 0.709 0.967
Cu 0.795 0.589 0.750
Sm 0.646 0.291 0.033
Sm 0.354 0.709 0.533
Cu 0.205 0.411 0.250
Y 0.955 0.909 0.250
Y 0.045 0.091 0.750
```

Calculated values
For the total energy, the calculation gives -5.047 eV per atom. The excess energy over the best structure of this formula in the dataset comes out at 35.8 meV/atom. As for the symmetry: No. 63. As for the calculated volume: 222.8 Å³/cell. For the formation energy, the calculation gives -4.6 kJ/mol of atoms.

(15)
Sm2YCu: optimized geometry, PBE. Values from VASP.

```
&SYSTEM
  ibrav = 0, nat = 4, ntyp = 3
/
ATOMIC_SPECIES
Sm 150.36 Sm.upf
Cu 63.55 Cu.upf
Y 88.91 Y.upf
CELL_PARAMETERS angstrom
-0.903 -0.007 -3.474
-1.778 -3.083 0.469
-7.194 4.432 1.860
ATOMIC_POSITIONS crystal
Sm 0.000 0.000 0.199
Cu 0.500 0.500 0.000
Sm 0.000 0.000 0.801
Y 0.500 0.500 0.500
```

Calculated values
For the total energy, the calculation gives -5.060 eV per atom. The excess energy over the best structure of this formula in the dataset comes out at 22.8 meV/atom. As for the symmetry: No. 123. As for the calculated volume: 111.5 Å³/cell. For the formation energy, the calculation gives -5.8 kJ/mol of atoms.

(16)
SmY4Cu5: optimized geometry, PBE. Values from VASP.

```
&SYSTEM
  ibrav = 0, nat = 10, ntyp = 3
/
ATOMIC_SPECIES
Y 88.91 Y.upf
Cu 63.55 Cu.upf
Sm 150.36 Sm.upf
CELL_PARAMETERS angstrom
3.476 0.000 0.000
0.000 3.476 0.000
0.000 0.000 17.662
ATOMIC_POSITIONS crystal
Y 0.000 0.000 0.599
Cu 0.500 0.500 0.895
Cu 0.500 0.500 0.301
Cu 0.500 0.500 0.699
Y 0.000 0.000 0.202
Cu 0.500 0.500 0.500
Cu 0.500 0.500 0.105
Y 0.000 0.000 0.401
Sm 0.000 0.000 0.000
Y 0.000 0.000 0.798
```

Calculated values
For the total energy, the calculation gives -5.339 eV per atom. As for the symmetry: No. 123. As for the calculated volume: 213.4 Å³/cell. For the formation energy, the calculation gives -22.5 kJ/mol of atoms.

(17)
Sm2YCu2: optimized geometry, PBE. Values from VASP.

```
&SYSTEM
  ibrav = 0, nat = 10, ntyp = 3
/
ATOMIC_SPECIES
Cu 63.55 Cu.upf
Sm 150.36 Sm.upf
Y 88.91 Y.upf
CELL_PARAMETERS angstrom
-2.217 -1.469 2.666
5.523 -5.678 1.464
3.449 4.772 5.497
ATOMIC_POSITIONS crystal
Cu 0.000 0.121 0.379
Sm 0.500 0.666 0.834
Sm 0.500 0.334 0.166
Sm 0.500 0.166 0.666
Y 0.000 0.000 0.000
Sm 0.500 0.834 0.334
Y 0.000 0.500 0.500
Cu 0.000 0.379 0.879
Cu 0.000 0.621 0.121
Cu 0.000 0.879 0.621
```

Calculated values
For the total energy, the calculation gives -4.950 eV per atom. The excess energy over the best structure of this formula in the dataset comes out at 0.0 meV/atom. As for the symmetry: No. 127. As for the calculated volume: 244.3 Å³/cell. For the formation energy, the calculation gives -12.6 kJ/mol of atoms.

(18)
Sm2YCu: optimized geometry, PBE. Values from VASP.

```
&SYSTEM
  ibrav = 0, nat = 4, ntyp = 3
/
ATOMIC_SPECIES
Y 88.91 Y.upf
Sm 150.36 Sm.upf
Cu 63.55 Cu.upf
CELL_PARAMETERS angstrom
3.678 0.000 0.000
1.839 3.186 0.000
1.839 1.062 9.922
ATOMIC_POSITIONS crystal
Y 0.500 0.500 0.501
Sm 0.265 0.265 0.206
Cu 0.667 0.667 0.000
Sm 0.069 0.069 0.794
```

Calculated values
For the total energy, the calculation gives -4.943 eV per atom. The excess energy over the best structure of this formula in the dataset comes out at 139.5 meV/atom. As for the symmetry: No. 160. As for the calculated volume: 116.3 Å³/cell. For the formation energy, the calculation gives 5.4 kJ/mol of atoms.

(19)
Sm2YCu2: optimized geometry, PBE. Values from VASP.

```
&SYSTEM
  ibrav = 0, nat = 10, ntyp = 3
/
ATOMIC_SPECIES
Sm 150.36 Sm.upf
Cu 63.55 Cu.upf
Y 88.91 Y.upf
CELL_PARAMETERS angstrom
-3.217 -0.711 3.113
-1.054 -4.859 -2.200
7.933 -0.816 8.013
ATOMIC_POSITIONS crystal
Sm 0.750 0.708 0.458
Cu 0.750 0.125 0.358
Sm 0.750 0.219 0.121
Cu 0.250 0.875 0.642
Sm 0.250 0.292 0.542
Cu 0.750 0.642 0.025
Y 0.750 0.200 0.785
Y 0.250 0.800 0.215
Sm 0.250 0.781 0.879
Cu 0.250 0.358 0.975
```

Calculated values
For the total energy, the calculation gives -4.894 eV per atom. The excess energy over the best structure of this formula in the dataset comes out at 56.0 meV/atom. As for the symmetry: No. 11. As for the calculated volume: 260.1 Å³/cell. For the formation energy, the calculation gives -7.2 kJ/mol of atoms.

(20)
SmY3Cu2: optimized geometry, PBE. Values from VASP.

```
&SYSTEM
  ibrav = 0, nat = 12, ntyp = 3
/
ATOMIC_SPECIES
Y 88.91 Y.upf
Cu 63.55 Cu.upf
Sm 150.36 Sm.upf
CELL_PARAMETERS angstrom
6.846 0.000 0.000
0.000 7.236 0.000
-3.423 -3.618 6.761
ATOMIC_POSITIONS crystal
Y 0.500 0.750 0.000
Cu 0.433 0.642 0.284
Y 0.764 0.014 0.528
Y 0.500 0.250 0.000
Y 0.236 0.986 0.472
Sm 0.000 0.000 0.000
Cu 0.851 0.142 0.284
Y 0.764 0.514 0.528
Cu 0.567 0.358 0.716
Sm 0.000 0.500 0.000
Cu 0.149 0.858 0.716
Y 0.236 0.486 0.472
```

Calculated values
For the total energy, the calculation gives -5.360 eV per atom. The excess energy over the best structure of this formula in the dataset comes out at 171.0 meV/atom. As for the symmetry: No. 72. As for the calculated volume: 334.9 Å³/cell. For the formation energy, the calculation gives 2.3 kJ/mol of atoms.